# La2ZnP PBE relaxed
data_La2ZnP
_chemical_formula_sum 'La6 Zn3 P3'
_symmetry_space_group_name_H-M 'R 3 m'
_symmetry_Int_Tables_number 160
_symmetry_space_group_name_Hall 'R 3 -2"'
_cell_length_a 4.1644
_cell_length_b 4.1644
_cell_length_c 23.3110
_cell_angle_alpha 90.00
_cell_angle_beta 90.00
_cell_angle_gamma 120.00
loop_
_atom_site_label
_atom_site_type_symbol
_atom_site_fract_x
_atom_site_fract_y
_atom_site_fract_z
La1 La 0.0000 0.0000 0.0000
La2 La 0.0000 0.0000 0.1901
Zn1 Zn 0.0000 0.0000 0.7623
P1 P 0.0000 0.0000 0.5953
# Electronic total energy, eV/atom: -4.949
# ΔE to the lowest computed polymorph, meV/atom: 89
# Size of the total moment, μB/f.u.: 0.00

# La2ZnP PBE relaxed
data_La2ZnP
_chemical_formula_sum 'La6 Zn3 P3'
_symmetry_space_group_name_H-M 'R 3 m'
_symmetry_Int_Tables_number 160
_symmetry_space_group_name_Hall 'R 3 -2"'
_cell_length_a 4.0414
_cell_length_b 4.0414
_cell_length_c 23.2676
_cell_angle_alpha 90.00
_cell_angle_beta 90.00
_cell_angle_gamma 120.00
loop_
_atom_site_label
_atom_site_type_symbol
_atom_site_fract_x
_atom_site_fract_y
_atom_site_fract_z
La1 La 0.0000 0.0000 0.0000
La2 La 0.0000 0.0000 0.1860
Zn1 Zn 0.0000 0.0000 0.7575
P1 P 0.0000 0.0000 0.4290
# Electronic total energy, eV/atom: -4.695
# ΔE to the lowest computed polymorph, meV/atom: 343
# Size of the total moment, μB/f.u.: 0.82

# La2ZrP PBE relaxed
data_La2ZrP
_chemical_formula_sum 'La6 Zr3 P3'
_symmetry_space_group_name_H-M 'R 3 m'
_symmetry_Int_Tables_number 160
_symmetry_space_group_name_Hall 'R 3 -2"'
_cell_length_a 3.7667
_cell_length_b 3.7667
_cell_length_c 27.6830
_cell_angle_alpha 90.00
_cell_angle_beta 90.00
_cell_angle_gamma 120.00
loop_
_atom_site_label
_atom_site_type_symbol
_atom_site_fract_x
_atom_site_fract_y
_atom_site_fract_z
La1 La 0.0000 0.0000 0.0000
La2 La 0.0000 0.0000 0.2166
Zr1 Zr 0.0000 0.0000 0.4526
P1 P 0.0000 0.0000 0.7346
# Electronic total energy, eV/atom: -6.583
# Size of the total moment, μB/f.u.: 0.00

# La4ZrP5 PBE relaxed
data_La4ZrP5
_chemical_formula_sum 'La8 Zr2 P10'
_symmetry_space_group_name_H-M 'I 4'
_symmetry_Int_Tables_number 79
_cell_length_a 9.280
_cell_length_b 9.280
_cell_length_c 5.915
_cell_angle_alpha 90.00
_cell_angle_beta 90.00
_cell_angle_gamma 90.00
loop_
_symmetry_equiv_pos_as_xyz
'x,y,z'
'-y,x,z'
'-x,-y,z'
'y,-x,z'
'x+1/2,y+1/2,z+1/2'
'-y+1/2,x+1/2,z+1/2'
'-x+1/2,-y+1/2,z+1/2'
'y+1/2,-x+1/2,z+1/2'
loop_
_atom_site_label
_atom_site_type_symbol
_atom_site_fract_x
_atom_site_fract_y
_atom_site_fract_z
La1 La 0.097 0.299 0.000
Zr1 Zr 0.000 0.000 0.486
P1 P 0.000 0.000 0.014
P2 P 0.094 0.281 0.499
# Electronic total energy, eV/atom: -7.017
# Size of the total moment, μB/f.u.: 0.00

# LaZrP2 PBE relaxed
data_LaZrP2
_chemical_formula_sum 'La2 Zr2 P4'
_symmetry_space_group_name_H-M 'C 1 2/m 1'
_symmetry_Int_Tables_number 12
_cell_length_a 7.044
_cell_length_b 7.264
_cell_length_c 3.363
_cell_angle_alpha 90.00
_cell_angle_beta 101.28
_cell_angle_gamma 90.00
loop_
_symmetry_equiv_pos_as_xyz
'x,y,z'
'-x,-y,-z'
'-x,y,-z'
'x,-y,z'
'x+1/2,y+1/2,z'
'-x+1/2,-y+1/2,-z'
'-x+1/2,y+1/2,-z'
'x+1/2,-y+1/2,z'
loop_
_atom_site_label
_atom_site_type_symbol
_atom_site_fract_x
_atom_site_fract_y
_atom_site_fract_z
La1 La 0.000 0.000 0.000
Zr1 Zr 0.000 0.500 0.000
P1 P 0.250 0.250 0.500
# Electronic total energy, eV/atom: -6.950
# ΔE to the lowest computed polymorph, meV/atom: 580
# Size of the total moment, μB/f.u.: 0.00

# La2ZrP PBE relaxed
data_La2ZrP
_chemical_formula_sum 'La4 Zr2 P2'
_symmetry_space_group_name_H-M 'I m m 2'
_symmetry_Int_Tables_number 44
_cell_length_a 3.680
_cell_length_b 5.408
_cell_length_c 10.984
_cell_angle_alpha 90.00
_cell_angle_beta 90.00
_cell_angle_gamma 90.00
loop_
_symmetry_equiv_pos_as_xyz
'x,y,z'
'-x,-y,z'
'-x,y,z'
'x,-y,z'
'x+1/2,y+1/2,z+1/2'
'-x+1/2,-y+1/2,z+1/2'
'-x+1/2,y+1/2,z+1/2'
'x+1/2,-y+1/2,z+1/2'
loop_
_atom_site_label
_atom_site_type_symbol
_atom_site_fract_x
_atom_site_fract_y
_atom_site_fract_z
La1 La 0.000 0.000 0.000
La2 La 0.000 0.500 0.183
Zr1 Zr 0.000 0.500 0.806
P1 P 0.000 0.000 0.472
# Electronic total energy, eV/atom: -6.475
# Size of the total moment, μB/f.u.: 0.00

# La2ZrP PBE relaxed
data_La2ZrP
_chemical_formula_sum 'La2 Zr1 P1'
_symmetry_space_group_name_H-M 'P 4/m m m'
_symmetry_Int_Tables_number 123
_symmetry_space_group_name_Hall '-P 4 2'
_cell_length_a 3.699
_cell_length_b 3.699
_cell_length_c 8.014
_cell_angle_alpha 90.00
_cell_angle_beta 90.00
_cell_angle_gamma 90.00
loop_
_atom_site_label
_atom_site_type_symbol
_atom_site_fract_x
_atom_site_fract_y
_atom_site_fract_z
La1 La 0.000 0.000 0.202
Zr1 Zr 0.500 0.500 0.500
P1 P 0.500 0.500 0.000
# Electronic total energy, eV/atom: -6.357
# Size of the total moment, μB/f.u.: 0.32

# La3ZrP5 PBE relaxed
data_La3ZrP5
_chemical_formula_sum 'La6 Zr2 P10'
_symmetry_space_group_name_H-M 'P 63/m c m'
_symmetry_Int_Tables_number 193
_symmetry_space_group_name_Hall '-P 6c 2'
_cell_length_a 8.7929
_cell_length_b 8.7929
_cell_length_c 5.9727
_cell_angle_alpha 90.00
_cell_angle_beta 90.00
_cell_angle_gamma 120.00
loop_
_atom_site_label
_atom_site_type_symbol
_atom_site_fract_x
_atom_site_fract_y
_atom_site_fract_z
La1 La 0.0000 0.3846 0.2500
Zr1 Zr 0.0000 0.0000 0.0000
P1 P 0.0000 0.2519 0.7500
P2 P 0.3333 0.6667 0.0000
# Electronic total energy, eV/atom: -6.879
# Size of the total moment, μB/f.u.: 0.00

# LaZrP2 PBE relaxed
data_LaZrP2
_chemical_formula_sum 'La1 Zr1 P2'
_symmetry_space_group_name_H-M 'P 1 2/m 1'
_symmetry_Int_Tables_number 10
_cell_length_a 3.405
_cell_length_b 3.552
_cell_length_c 6.992
_cell_angle_alpha 90.00
_cell_angle_beta 101.14
_cell_angle_gamma 90.00
loop_
_symmetry_equiv_pos_as_xyz
'x,y,z'
'-x,-y,-z'
'-x,y,-z'
'x,-y,z'
loop_
_atom_site_label
_atom_site_type_symbol
_atom_site_fract_x
_atom_site_fract_y
_atom_site_fract_z
La1 La 0.000 0.000 0.000
Zr1 Zr 0.000 0.000 0.500
P1 P 0.493 0.500 0.716
# Electronic total energy, eV/atom: -7.103
# ΔE to the lowest computed polymorph, meV/atom: 427
# Size of the total moment, μB/f.u.: 0.00

# LaZrP2 PBE relaxed
data_LaZrP2
_chemical_formula_sum 'La2 Zr2 P4'
_symmetry_space_group_name_H-M 'I m m m'
_symmetry_Int_Tables_number 71
_symmetry_space_group_name_Hall '-I 2 2'
_cell_length_a 4.251
_cell_length_b 5.553
_cell_length_c 7.334
_cell_angle_alpha 90.00
_cell_angle_beta 90.00
_cell_angle_gamma 90.00
loop_
_atom_site_label
_atom_site_type_symbol
_atom_site_fract_x
_atom_site_fract_y
_atom_site_fract_z
La1 La 0.000 0.000 0.000
Zr1 Zr 0.000 0.000 0.500
P1 P 0.000 0.500 0.230
# Electronic total energy, eV/atom: -7.031
# ΔE to the lowest computed polymorph, meV/atom: 499
# Size of the total moment, μB/f.u.: 0.00

# LaZrP2 PBE relaxed
data_LaZrP2
_chemical_formula_sum 'La2 Zr2 P4'
_symmetry_space_group_name_H-M 'I m m 2'
_symmetry_Int_Tables_number 44
_cell_length_a 3.561
_cell_length_b 3.701
_cell_length_c 13.765
_cell_angle_alpha 90.00
_cell_angle_beta 90.00
_cell_angle_gamma 90.00
loop_
_symmetry_equiv_pos_as_xyz
'x,y,z'
'-x,-y,z'
'-x,y,z'
'x,-y,z'
'x+1/2,y+1/2,z+1/2'
'-x+1/2,-y+1/2,z+1/2'
'-x+1/2,y+1/2,z+1/2'
'x+1/2,-y+1/2,z+1/2'
loop_
_atom_site_label
_atom_site_type_symbol
_atom_site_fract_x
_atom_site_fract_y
_atom_site_fract_z
La1 La 0.000 0.000 0.000
Zr1 Zr 0.000 0.500 0.249
P1 P 0.000 0.000 0.607
P2 P 0.000 0.500 0.823
# Electronic total energy, eV/atom: -7.221
# ΔE to the lowest computed polymorph, meV/atom: 310
# Size of the total moment, μB/f.u.: 0.00

# La3ZrP PBE relaxed
data_La3ZrP
_chemical_formula_sum 'La3 Zr1 P1'
_symmetry_space_group_name_H-M 'P m -3 m'
_symmetry_Int_Tables_number 221
_symmetry_space_group_name_Hall '-P 4 2 3'
_cell_length_a 5.536
_cell_length_b 5.536
_cell_length_c 5.536
_cell_angle_alpha 90.00
_cell_angle_beta 90.00
_cell_angle_gamma 90.00
loop_
_atom_site_label
_atom_site_type_symbol
_atom_site_fract_x
_atom_site_fract_y
_atom_site_fract_z
La1 La 0.000 0.000 0.500
Zr1 Zr 0.000 0.000 0.000
P1 P 0.500 0.500 0.500
# Electronic total energy, eV/atom: -5.319
# ΔE to the lowest computed polymorph, meV/atom: 594
# Size of the total moment, μB/f.u.: 0.00

# La3ZrP PBE relaxed
data_La3ZrP
_chemical_formula_sum 'La3 Zr1 P1'
_symmetry_space_group_name_H-M 'P m -3 m'
_symmetry_Int_Tables_number 221
_symmetry_space_group_name_Hall '-P 4 2 3'
_cell_length_a 5.608
_cell_length_b 5.608
_cell_length_c 5.608
_cell_angle_alpha 90.00
_cell_angle_beta 90.00
_cell_angle_gamma 90.00
loop_
_atom_site_label
_atom_site_type_symbol
_atom_site_fract_x
_atom_site_fract_y
_atom_site_fract_z
La1 La 0.000 0.000 0.500
Zr1 Zr 0.500 0.500 0.500
P1 P 0.000 0.000 0.000
# Electronic total energy, eV/atom: -5.913
# ΔE to the lowest computed polymorph, meV/atom: 0
# Size of the total moment, μB/f.u.: 1.36

# LaZrP2 PBE relaxed
data_LaZrP2
_chemical_formula_sum 'La4 Zr4 P8'
_symmetry_space_group_name_H-M 'I -4 2 d'
_symmetry_Int_Tables_number 122
_symmetry_space_group_name_Hall 'I -4 2bw'
_cell_length_a 7.256
_cell_length_b 7.256
_cell_length_c 7.392
_cell_angle_alpha 90.00
_cell_angle_beta 90.00
_cell_angle_gamma 90.00
loop_
_atom_site_label
_atom_site_type_symbol
_atom_site_fract_x
_atom_site_fract_y
_atom_site_fract_z
La1 La 0.000 0.000 0.000
Zr1 Zr 0.000 0.000 0.500
P1 P 0.211 0.250 0.625
# Electronic total energy, eV/atom: -7.062
# ΔE to the lowest computed polymorph, meV/atom: 468
# Size of the total moment, μB/f.u.: 0.00

# La2ZrP PBE relaxed
data_La2ZrP
_chemical_formula_sum 'La6 Zr3 P3'
_symmetry_space_group_name_H-M 'R -3 m'
_symmetry_Int_Tables_number 166
_symmetry_space_group_name_Hall '-R 3 2"'
_cell_length_a 3.9023
_cell_length_b 3.9023
_cell_length_c 27.1052
_cell_angle_alpha 90.00
_cell_angle_beta 90.00
_cell_angle_gamma 120.00
loop_
_atom_site_label
_atom_site_type_symbol
_atom_site_fract_x
_atom_site_fract_y
_atom_site_fract_z
La1 La 0.0000 0.0000 0.2342
Zr1 Zr 0.0000 0.0000 0.0000
P1 P 0.0000 0.0000 0.5000
# Electronic total energy, eV/atom: -6.352
# Size of the total moment, μB/f.u.: 1.05

# LaZrP2 PBE relaxed
data_LaZrP2
_chemical_formula_sum 'La4 Zr4 P8'
_symmetry_space_group_name_H-M 'F -4 3 m'
_symmetry_Int_Tables_number 216
_symmetry_space_group_name_Hall 'F -4 2 3'
_cell_length_a 6.806
_cell_length_b 6.806
_cell_length_c 6.806
_cell_angle_alpha 90.00
_cell_angle_beta 90.00
_cell_angle_gamma 90.00
loop_
_atom_site_label
_atom_site_type_symbol
_atom_site_fract_x
_atom_site_fract_y
_atom_site_fract_z
La1 La 0.000 0.000 0.000
Zr1 Zr 0.250 0.250 0.750
P1 P 0.000 0.000 0.500
P2 P 0.250 0.250 0.250
# Electronic total energy, eV/atom: -6.184
# ΔE to the lowest computed polymorph, meV/atom: 1346
# Size of the total moment, μB/f.u.: 0.03

# La4ZrP PBE relaxed
data_La4ZrP
_chemical_formula_sum 'La16 Zr4 P4'
_symmetry_space_group_name_H-M 'F -4 3 m'
_symmetry_Int_Tables_number 216
_symmetry_space_group_name_Hall 'F -4 2 3'
_cell_length_a 8.994
_cell_length_b 8.994
_cell_length_c 8.994
_cell_angle_alpha 90.00
_cell_angle_beta 90.00
_cell_angle_gamma 90.00
loop_
_atom_site_label
_atom_site_type_symbol
_atom_site_fract_x
_atom_site_fract_y
_atom_site_fract_z
La1 La 0.124 0.124 0.376
Zr1 Zr 0.250 0.250 0.750
P1 P 0.000 0.000 0.000
# Electronic total energy, eV/atom: -5.126
# Size of the total moment, μB/f.u.: 1.89

# LaZrP2 PBE relaxed
data_LaZrP2
_chemical_formula_sum 'La4 Zr4 P8'
_symmetry_space_group_name_H-M 'F m -3 m'
_symmetry_Int_Tables_number 225
_symmetry_space_group_name_Hall '-F 4 2 3'
_cell_length_a 6.897
_cell_length_b 6.897
_cell_length_c 6.897
_cell_angle_alpha 90.00
_cell_angle_beta 90.00
_cell_angle_gamma 90.00
loop_
_atom_site_label
_atom_site_type_symbol
_atom_site_fract_x
_atom_site_fract_y
_atom_site_fract_z
La1 La 0.000 0.000 0.000
Zr1 Zr 0.000 0.000 0.500
P1 P 0.250 0.250 0.250
# Electronic total energy, eV/atom: -6.981
# ΔE to the lowest computed polymorph, meV/atom: 549
# Size of the total moment, μB/f.u.: 0.48

# LaZrP2 PBE relaxed
data_LaZrP2
_chemical_formula_sum 'La3 Zr3 P6'
_symmetry_space_group_name_H-M 'R -3 m'
_symmetry_Int_Tables_number 166
_symmetry_space_group_name_Hall '-R 3 2"'
_cell_length_a 3.9442
_cell_length_b 3.9442
_cell_length_c 19.9240
_cell_angle_alpha 90.00
_cell_angle_beta 90.00
_cell_angle_gamma 120.00
loop_
_atom_site_label
_atom_site_type_symbol
_atom_site_fract_x
_atom_site_fract_y
_atom_site_fract_z
La1 La 0.0000 0.0000 0.0000
Zr1 Zr 0.0000 0.0000 0.5000
P1 P 0.0000 0.0000 0.2400
# Electronic total energy, eV/atom: -7.530
# ΔE to the lowest computed polymorph, meV/atom: 0
# Size of the total moment, μB/f.u.: 0.00

# La3ZrP4 PBE relaxed
data_La3ZrP4
_chemical_formula_sum 'La6 Zr2 P8'
_symmetry_space_group_name_H-M 'C m m m'
_symmetry_Int_Tables_number 65
_symmetry_space_group_name_Hall '-C 2 2'
_cell_length_a 8.292
_cell_length_b 11.651
_cell_length_c 4.115
_cell_angle_alpha 90.00
_cell_angle_beta 90.00
_cell_angle_gamma 90.00
loop_
_atom_site_label
_atom_site_type_symbol
_atom_site_fract_x
_atom_site_fract_y
_atom_site_fract_z
La1 La 0.000 0.000 0.000
La2 La 0.250 0.250 0.500
Zr1 Zr 0.000 0.500 0.000
P1 P 0.000 0.264 0.000
P2 P 0.228 0.500 0.500
# Electronic total energy, eV/atom: -7.102
# Size of the total moment, μB/f.u.: 0.00

In meV/atom, the DFT formation energy values for the records above are, in order, -814, -560, -630, -1486, -876, -522, -404, -1281, -1029, -957, -1147, 429, -165, -988, -399, -111, 485, -907, -1456, -1481.